Entry 1:
A plane-wave DFT calculation with PBE was carried out for a geometry-optimized K2PbCl6 structure.

Cell lengths 7.3448, 7.8083, 12.2486 Å; angles 90.00, 124.78, 90.00 degrees
With the nearest neighbours (Å) after each atom.
Space group P2_1/c (No. 14)
Symmetry-distinct sites (fractional):
K (0.2253, 0.0786, 0.2475) [4 per cell]  8 Cl 3.23-3.54
Pb (0.5000, 0.0000, 0.0000) [2 per cell]  6 Cl 2.56-2.58
Cl (0.1696, 0.1802, 0.9557) [4 per cell]  1 Pb 2.58
Cl (0.2784, 0.7219, 0.9584) [4 per cell]  1 Pb 2.58
Cl (0.3426, 0.0180, 0.7524) [4 per cell]  1 Pb 2.56

Properties
* size of the total moment: 0.00 Bohr magnetons per cell


Entry 2:
A plane-wave DFT calculation with PBE was carried out for a geometry-optimized K2PbCl structure.

Cell lengths 3.7078, 8.8619, 11.2158 Å; angles 90.00, 90.00, 90.00 degrees
With the nearest neighbours (Å) after each atom.
Space group Immm (No. 71)
Symmetry-distinct sites (fractional):
K (0.0000, 0.0000, 0.2014) [4 per cell]  2 Cl 2.92
Pb (0.0000, 0.5000, 0.0000) [2 per cell]  2 Pb 3.71, 4 K 3.83
Cl (0.0000, 0.5000, 0.5000) [2 per cell]  4 K 2.92

Properties
* size of the total moment: 0.00 Bohr magnetons per cell
* excess energy over the best structure of this formula in the dataset: 284 meV per atom


Entry 3:
A plane-wave DFT calculation with PBE was carried out for a geometry-optimized K2PbCl4 structure.

Cell lengths 7.8486, 13.1396, 4.4604 Å; angles 90.00, 90.00, 90.00 degrees
With the nearest neighbours (Å) after each atom.
Space group Pbam (No. 55)
Symmetry-distinct sites (fractional):
K (0.0802, 0.1825, 0.0000) [4 per cell]  6 Cl 3.17-3.32
Pb (0.0000, 0.5000, 0.5000) [2 per cell]  6 Cl 2.89-2.96
Cl (0.1358, 0.7042, 0.5000) [4 per cell]  1 Pb 2.89, 4 K 3.17
Cl (0.2366, 0.4551, 0.0000) [4 per cell]  2 Pb 2.96, 2 K 3.25-3.32

Properties
* size of the total moment: 0.00 Bohr magnetons per cell
* excess energy over the best structure of this formula in the dataset: 0 meV per atom


Entry 4:
A plane-wave DFT calculation with PBE was carried out for a geometry-optimized K2PbCl4 structure.

Cell lengths 14.5829, 4.4049, 8.2264 Å; angles 90.00, 116.97, 90.00 degrees
With the nearest neighbours (Å) after each atom.
Space group C2/m (No. 12)
Symmetry-distinct sites (fractional):
K (0.1915, 0.0000, 0.1798) [4 per cell]  6 Cl 3.07-3.38
Pb (0.0000, 0.5000, 0.5000) [2 per cell]  6 Cl 2.86-2.98
Cl (0.1048, 0.5000, 0.8895) [4 per cell]  1 Pb 2.86, 2 K 3.07
Cl (0.1421, 0.0000, 0.5201) [4 per cell]  2 Pb 2.98, 1 K 3.19

Properties
* size of the total moment: 0.00 Bohr magnetons per cell
* excess energy over the best structure of this formula in the dataset: 37 meV per atom


Computed values of uncorrected formation energy (unit: kJ per mole of atoms) for the preceding records, in sequence: -124; -63; -158; -155.